## LiBeI (GGA-PBE)

Data for crystalline LiBeI at its relaxed geometry.

Unit cell a=4.2350 b=14.9059 c=4.1794 alpha=90.00 beta=90.00 gamma=90.00
Last column: nearest neighbours and their distance in Å.
Space group Ama2 (No. 40)
One atom of each set of equivalent atoms:
Li (0.2500, 0.1433, 0.0000) (multiplicity 4)  1 Be 2.46
Be (0.2500, 0.4781, 0.4967) (multiplicity 4)  2 Be 2.22, 1 Li 2.46
I (0.2500, 0.3520, 0.9985) (multiplicity 4)  2 Be 2.81-2.82, 5 Li 2.97-3.11

## Properties
formation energy without anion corrections = -147 meV/atom
N(E_F) = 0.10 states/eV per atom
crystal system = orthorhombic
total moment = 0.0 μB/cell
polymorph energy (0 for the lowest one) = 111 meV/atom

## NaTl5In7 (GGA-PBE)

Data for crystalline NaTl5In7 at its relaxed geometry.

Unit cell a=13.5844 b=10.3842 c=5.6220 alpha=90.00 beta=106.03 gamma=90.00
Last column: nearest neighbours and their distance in Å.
Space group Cm (No. 8)
One atom of each set of equivalent atoms:
Na (0.0000, 0.0000, 0.0000) (multiplicity 2)  5 Tl 3.39-3.46, 8 In 3.55-3.76
Tl (0.2195, 0.1736, 0.1399) (multiplicity 4)  4 In 3.20-3.42, 3 Tl 3.21-3.51, 1 Na 3.39
Tl (0.2877, 0.5000, 0.2264) (multiplicity 2)  6 In 3.39-3.77, 1 Na 3.46, 6 Tl 3.49-3.72
Tl (0.3144, 0.2856, 0.7184) (multiplicity 4)  5 In 3.20-3.58, 3 Tl 3.21-3.49, 1 Na 3.41
In (0.0151, 0.2086, 0.5086) (multiplicity 4)  5 In 3.09-3.43, 1 Tl 3.26
In (0.0222, 0.3563, 0.0364) (multiplicity 4)  3 In 2.98-3.32, 2 Tl 3.20-3.25
In (0.1384, 0.5000, 0.6206) (multiplicity 2)  3 In 3.08-3.43, 4 Tl 3.20-3.45
In (0.1880, 0.0000, 0.6313) (multiplicity 2)  3 In 3.13-3.24, 6 Tl 3.31-3.42
In (0.4026, 0.0000, 0.4836) (multiplicity 2)  6 In 3.08-3.43, 2 Tl 3.24

## Properties
N(E_F) = 0.36 states/eV per atom
crystal system = monoclinic
total moment = 0.0 μB/cell
calculated formation energy = 0.25 eV per formula unit

## PaTl2Ni2S4 (GGA-PBE)

Data for crystalline PaTl2Ni2S4 at its relaxed geometry.

Unit cell a=13.8682 b=3.8823 c=7.8634 alpha=90.00 beta=108.68 gamma=90.00
Last column: nearest neighbours and their distance in Å.
Space group C2/m (No. 12)
One atom of each set of equivalent atoms:
Pa (0.0000, 0.0000, 0.0000) (multiplicity 2)  6 S 2.65-2.70
Tl (0.1439, 0.0000, 0.5829) (multiplicity 4)  4 S 3.12-3.23, 1 Ni 3.38
Ni (0.1851, 0.5000, 0.0000) (multiplicity 4)  4 S 2.28-2.32
S (0.0263, 0.5000, 0.7804) (multiplicity 4)  1 Ni 2.32
S (0.2001, 0.0000, 0.1587) (multiplicity 4)  3 Ni 2.28-2.32

## Properties
formation energy without anion corrections = -835 meV/atom
N(E_F) = 0.62 states/eV per atom
crystal system = monoclinic
total moment = 0.0 μB/cell

## La2AlGeF (GGA-PBE)

Data for crystalline La2AlGeF at its relaxed geometry.

Unit cell a=5.7626 b=5.7626 c=4.5632 alpha=90.00 beta=90.00 gamma=90.00
Last column: nearest neighbours and their distance in Å.
Space group P4/mmm (No. 123)
One atom of each set of equivalent atoms:
La (0.0000, 0.5000, 0.0000) (multiplicity 2)  2 Al 2.88
Al (0.0000, 0.0000, 0.0000) (multiplicity 1)  2 Ge 2.28
Ge (0.0000, 0.0000, 0.5000) (multiplicity 1)  2 Al 2.28
F (0.5000, 0.5000, 0.5000) (multiplicity 1)  8 La 3.68, 4 Ge 4.07

## Properties
formation energy without anion corrections = -427 meV/atom
N(E_F) = 0.73 states/eV per atom
crystal system = tetragonal
total moment = 0.0 μB/cell

## MnTe2Au (GGA-PBE)

Data for crystalline MnTe2Au at its relaxed geometry.

Unit cell a=4.0475 b=4.0475 c=20.4334 alpha=90.00 beta=90.00 gamma=120.00
Last column: nearest neighbours and their distance in Å.
Space group R-3m (No. 166, hexagonal axes)
One atom of each set of equivalent atoms:
Mn (0.0000, 0.0000, 0.0000) (multiplicity 3)  6 Te 2.83
Te (0.0000, 0.0000, 0.2550) (multiplicity 6)  3 Mn 2.83, 3 Au 2.95
Au (0.0000, 0.0000, 0.5000) (multiplicity 3)  6 Te 2.95

## Properties
formation energy without anion corrections = -18 meV/atom
N(E_F) = 0.43 states/eV per atom
crystal system = trigonal
total moment = 12.1 μB/cell
polymorph energy (0 for the lowest one) = 72 meV/atom

## LiIn2Pd6 (GGA-PBE)

Data for crystalline LiIn2Pd6 at its relaxed geometry.

Unit cell a=13.1720 b=6.3793 c=4.1301 alpha=90.00 beta=107.76 gamma=90.00
Last column: nearest neighbours and their distance in Å.
Space group C2/m (No. 12)
One atom of each set of equivalent atoms:
Li (0.0000, 0.0000, 0.0000) (multiplicity 2)  8 Pd 2.48-2.53
In (0.1539, 0.5000, 0.6518) (multiplicity 4)  8 Pd 2.65-2.70
Pd (0.0000, 0.2144, 0.5000) (multiplicity 4)  2 Li 2.48, 2 In 2.65, 1 Pd 2.74
Pd (0.1648, 0.2286, 0.1629) (multiplicity 8)  1 Li 2.53, 3 In 2.70

## Properties
N(E_F) = 0.34 states/eV per atom
crystal system = monoclinic
total moment = 0.0 μB/cell
calculated formation energy = -1.61 eV per formula unit

## SrYNiOs2 (GGA-PBE)

Data for crystalline SrYNiOs2 at its relaxed geometry.

Unit cell a=4.8129 b=4.8129 c=5.1528 alpha=90.00 beta=90.00 gamma=90.00
Last column: nearest neighbours and their distance in Å.
Space group P4/mmm (No. 123)
One atom of each set of equivalent atoms:
Sr (0.0000, 0.0000, 0.0000) (multiplicity 1)  4 Os 2.41, 2 Y 2.58
Y (0.0000, 0.0000, 0.5000) (multiplicity 1)  2 Sr 2.58
Ni (0.5000, 0.5000, 0.5000) (multiplicity 1)  4 Y 3.40, 8 Os 3.53
Os (0.0000, 0.5000, 0.0000) (multiplicity 2)  2 Sr 2.41

## Properties
N(E_F) = 1.29 states/eV per atom
crystal system = tetragonal
total moment = 0.0 μB/cell
calculated formation energy = 14.16 eV per formula unit

## Ac2TmMo2N6 (GGA-PBE)

Data for crystalline Ac2TmMo2N6 at its relaxed geometry.

Unit cell a=5.8822 b=5.8822 c=18.6371 alpha=90.00 beta=90.00 gamma=120.00
Last column: nearest neighbours and their distance in Å.
Space group R-3m (No. 166, hexagonal axes)
One atom of each set of equivalent atoms:
Ac (0.0000, 0.0000, 0.2052) (multiplicity 6)  3 N 2.67
Tm (0.0000, 0.0000, 0.0000) (multiplicity 3)  6 N 2.39
Mo (0.0000, 0.0000, 0.3968) (multiplicity 6)  3 N 1.83
N (0.0091, 0.5046, 0.7594) (multiplicity 18)  1 Mo 1.83

## Properties
formation energy without anion corrections = -844 meV/atom
N(E_F) = 0.22 states/eV per atom
crystal system = trigonal
total moment = 0.0 μB/cell